Record 1
The following is a DFT calculation (PBE-GGA) of a geometry-optimized Nd2Sn2Hg structure.

a = 4.6562 Å, b = 6.3833 Å, c = 10.5543 Å
α = 79.39°, β = 77.26°, γ = 68.61°
With the nearest neighbours (Å) after each atom.
Positions (direct):
Nd (0.4955, 0.3317, 0.6773)  6 Sn 3.28-3.44, 3 Hg 3.36-3.52
Sn (0.9501, 0.2021, 0.8976)  1 Hg 2.99, 1 Sn 3.01, 5 Nd 3.22-3.28
Nd (0.6817, 0.7448, 0.8917)  6 Sn 3.22-3.58, 2 Hg 3.33
Nd (0.5045, 0.6683, 0.3227)  6 Sn 3.28-3.44, 3 Hg 3.36-3.52
Hg (0.2013, 0.9250, 0.6723)  4 Sn 2.91-3.03
Sn (0.8578, 0.7203, 0.5641)  3 Hg 2.91-3.03, 1 Sn 3.06
Sn (0.0499, 0.7979, 0.1024)  1 Hg 2.99, 1 Sn 3.01, 5 Nd 3.22-3.28
Hg (0.7987, 0.0750, 0.3277)  4 Sn 2.91-3.03
Nd (0.3183, 0.2552, 0.1083)  6 Sn 3.22-3.58, 2 Hg 3.33
Sn (0.1422, 0.2797, 0.4359)  3 Hg 2.91-3.03, 1 Sn 3.06

Values from the calculation:
SG   C2/m
Formation enthalpy at 0 K   -0.626 eV/atom


Record 2
The following is a DFT calculation (PBE-GGA) of a geometry-optimized Nd2SnHg structure.

a = 4.5512 Å, b = 6.3413 Å, c = 8.9768 Å
α = 111.29°, β = 90.00°, γ = 90.00°
With the nearest neighbours (Å) after each atom.
Positions (direct):
Nd (0.7500, 0.2222, 0.4296)  3 Hg 3.27-3.49, 4 Sn 3.27-3.48
Nd (0.2500, 0.7823, 0.0696)  4 Hg 3.21-3.52, 3 Sn 3.27-3.46
Hg (0.7500, 0.6742, 0.7958)  2 Sn 3.05, 5 Nd 3.21-3.27
Hg (0.2500, 0.3258, 0.2042)  2 Sn 3.05, 5 Nd 3.21-3.27
Sn (0.2500, 0.3317, 0.7086)  2 Hg 3.05, 5 Nd 3.27
Nd (0.2500, 0.7778, 0.5704)  3 Hg 3.27-3.49, 4 Sn 3.27-3.48
Nd (0.7500, 0.2177, 0.9304)  4 Hg 3.21-3.52, 3 Sn 3.27-3.46
Sn (0.7500, 0.6683, 0.2914)  2 Hg 3.05, 5 Nd 3.27

Values from the calculation:
SG   P2_1/m
Formation enthalpy at 0 K   -0.596 eV/atom


Record 3
The following is a DFT calculation (PBE-GGA) of a geometry-optimized Nd3SnHg4 structure.

a = 3.7437 Å, b = 8.3566 Å, c = 8.7837 Å
α = 118.40°, β = 102.30°, γ = 90.00°
With the nearest neighbours (Å) after each atom.
Positions (direct):
Nd (0.0000, 0.5000, 0.0000)  8 Hg 3.26
Hg (0.3593, 0.5541, 0.7186)  5 Nd 3.15-3.26, 1 Hg 3.26, 1 Sn 3.31
Hg (0.3593, 0.1645, 0.7186)  5 Nd 3.15-3.26, 1 Hg 3.26, 1 Sn 3.31
Nd (0.1796, 0.1796, 0.3591)  6 Hg 3.15-3.22, 2 Sn 3.28
Sn (0.5000, 0.0000, 0.0000)  4 Nd 3.28, 4 Hg 3.31
Nd (0.8204, 0.8204, 0.6409)  6 Hg 3.15-3.22, 2 Sn 3.28
Hg (0.6407, 0.8355, 0.2814)  5 Nd 3.15-3.26, 1 Hg 3.26, 1 Sn 3.31
Hg (0.6407, 0.4459, 0.2814)  5 Nd 3.15-3.26, 1 Hg 3.26, 1 Sn 3.31

Values from the calculation:
SG   Immm
Formation enthalpy at 0 K   -0.342 eV/atom


Record 4
The following is a DFT calculation (PBE-GGA) of a geometry-optimized Nd12SnHg6 structure.

a = 9.2195 Å, b = 9.2195 Å, c = 9.2195 Å
α = 111.19°, β = 111.19°, γ = 111.19°
With the nearest neighbours (Å) after each atom.
Positions (direct):
Hg (0.3549, 0.0714, 0.5889)  7 Nd 3.19-3.53, 2 Hg 3.44
Hg (0.0714, 0.5889, 0.3549)  7 Nd 3.19-3.53, 2 Hg 3.44
Nd (0.8339, 0.2692, 0.9129)  4 Hg 3.21-3.53, 5 Nd 3.29-3.53, 1 Sn 3.53
Nd (0.7308, 0.0871, 0.1661)  4 Hg 3.21-3.53, 5 Nd 3.29-3.53, 1 Sn 3.53
Nd (0.9129, 0.8339, 0.2692)  4 Hg 3.21-3.53, 5 Nd 3.29-3.53, 1 Sn 3.53
Hg (0.9286, 0.4111, 0.6451)  7 Nd 3.19-3.53, 2 Hg 3.44
Nd (0.8097, 0.6546, 0.5249)  3 Hg 3.19-3.43, 4 Nd 3.29-3.53, 1 Sn 3.57
Nd (0.3454, 0.4751, 0.1903)  3 Hg 3.19-3.43, 4 Nd 3.29-3.53, 1 Sn 3.57
Nd (0.0871, 0.1661, 0.7308)  4 Hg 3.21-3.53, 5 Nd 3.29-3.53, 1 Sn 3.53
Nd (0.2692, 0.9129, 0.8339)  4 Hg 3.21-3.53, 5 Nd 3.29-3.53, 1 Sn 3.53
Nd (0.1661, 0.7308, 0.0871)  4 Hg 3.21-3.53, 5 Nd 3.29-3.53, 1 Sn 3.53
Sn (0.0000, 0.0000, 0.0000)  12 Nd 3.53-3.57
Nd (0.5249, 0.8097, 0.6546)  3 Hg 3.19-3.43, 4 Nd 3.29-3.53, 1 Sn 3.57
Nd (0.6546, 0.5249, 0.8097)  3 Hg 3.19-3.43, 4 Nd 3.29-3.53, 1 Sn 3.57
Hg (0.5889, 0.3549, 0.0714)  7 Nd 3.19-3.53, 2 Hg 3.44
Hg (0.6451, 0.9286, 0.4111)  7 Nd 3.19-3.53, 2 Hg 3.44
Nd (0.4751, 0.1903, 0.3454)  3 Hg 3.19-3.43, 4 Nd 3.29-3.53, 1 Sn 3.57
Nd (0.1903, 0.3454, 0.4751)  3 Hg 3.19-3.43, 4 Nd 3.29-3.53, 1 Sn 3.57
Hg (0.4111, 0.6451, 0.9286)  7 Nd 3.19-3.53, 2 Hg 3.44

Values from the calculation:
SG   R-3
Formation enthalpy at 0 K   -0.286 eV/atom


Record 5
The following is a DFT calculation (PBE-GGA) of a geometry-optimized Nd4Sn2Hg structure.

a = 5.9437 Å, b = 6.6779 Å, c = 11.4119 Å
α = 90.00°, β = 111.10°, γ = 90.00°
With the nearest neighbours (Å) after each atom.
Positions (direct):
Nd (0.9754, 0.2500, 0.1175)  3 Sn 3.17-3.32, 3 Hg 3.20-3.41
Nd (0.4147, 0.0110, 0.7352)  3 Nd 3.19-3.52, 1 Hg 3.25, 2 Sn 3.34-3.40
Nd (0.0246, 0.7500, 0.8825)  3 Sn 3.17-3.32, 3 Hg 3.20-3.41
Sn (0.4049, 0.2500, 0.9967)  1 Hg 2.81
Hg (0.0754, 0.7500, 0.1716)  1 Sn 2.81, 1 Nd 2.97
Nd (0.5853, 0.5110, 0.2648)  3 Nd 3.19-3.52, 1 Hg 3.25, 2 Sn 3.34-3.40
Nd (0.4147, 0.4890, 0.7352)  3 Nd 3.19-3.52, 1 Hg 3.25, 2 Sn 3.34-3.40
Sn (0.5951, 0.7500, 0.0033)  1 Hg 2.81
Hg (0.9246, 0.2500, 0.8284)  1 Sn 2.81, 1 Nd 2.97
Sn (0.7912, 0.7500, 0.5706)  5 Nd 3.23-3.35
Nd (0.7964, 0.2500, 0.5516)  1 Hg 2.97, 2 Sn 3.23-3.26
Nd (0.5853, 0.9890, 0.2648)  3 Nd 3.19-3.52, 1 Hg 3.25, 2 Sn 3.34-3.40
Nd (0.2036, 0.7500, 0.4484)  1 Hg 2.97, 2 Sn 3.23-3.26
Sn (0.2088, 0.2500, 0.4294)  5 Nd 3.23-3.35

Values from the calculation:
SG   P2_1/m
Formation enthalpy at 0 K   -0.486 eV/atom


Record 6
The following is a DFT calculation (PBE-GGA) of a geometry-optimized Nd2SnHg3 structure.

a = 6.2069 Å, b = 6.2069 Å, c = 9.9483 Å
α = 113.63°, β = 113.63°, γ = 73.46°
With the nearest neighbours (Å) after each atom.
Positions (direct):
Sn (0.3345, 0.3345, 0.6690)  3 Hg 2.87-2.90
Hg (0.8339, 0.8339, 0.6678)  2 Hg 2.87, 1 Sn 2.90
Hg (0.3326, 0.3326, 0.1652)  2 Hg 2.85-2.87, 1 Sn 2.87
Hg (0.1661, 0.1661, 0.3322)  2 Hg 2.87, 1 Sn 2.90
Sn (0.6655, 0.6655, 0.3310)  3 Hg 2.87-2.90
Hg (0.6674, 0.6674, 0.8348)  2 Hg 2.85-2.87, 1 Sn 2.87
Nd (0.7565, 0.2435, 0.0000)  10 Hg 3.39-3.44, 2 Sn 3.43, 1 Nd 3.61
Hg (0.8327, 0.8327, 0.1652)  2 Hg 2.85-2.87, 1 Sn 2.87
Nd (0.2500, 0.7500, 0.5000)  8 Hg 3.42-3.43, 4 Sn 3.43, 2 Nd 3.71
Hg (0.1673, 0.1673, 0.8348)  2 Hg 2.85-2.87, 1 Sn 2.87
Nd (0.7500, 0.2500, 0.5000)  8 Hg 3.42-3.43, 4 Sn 3.43, 2 Nd 3.71
Nd (0.2435, 0.7565, 0.0000)  10 Hg 3.39-3.44, 2 Sn 3.43, 1 Nd 3.61

Values from the calculation:
SG   Fmmm
Formation enthalpy at 0 K   -0.484 eV/atom


Record 7
The following is a DFT calculation (PBE-GGA) of a geometry-optimized Nd3SnHg2 structure.

a = 3.7915 Å, b = 5.4676 Å, c = 8.7253 Å
α = 108.26°, β = 90.00°, γ = 90.00°
With the nearest neighbours (Å) after each atom.
Positions (direct):
Hg (0.0000, 0.6747, 0.3494)  8 Nd 3.26-3.46
Sn (0.0000, 0.0000, 0.0000)  8 Nd 3.33
Hg (0.0000, 0.3253, 0.6506)  8 Nd 3.26-3.46
Nd (0.5000, 0.1651, 0.3303)  6 Hg 3.26-3.33, 2 Sn 3.33
Nd (0.5000, 0.8349, 0.6697)  6 Hg 3.26-3.33, 2 Sn 3.33
Nd (0.5000, 0.5000, 0.0000)  4 Sn 3.33, 4 Hg 3.46

Values from the calculation:
SG   Cmmm
Formation enthalpy at 0 K   -0.557 eV/atom


Record 8
The following is a DFT calculation (PBE-GGA) of a geometry-optimized Nd2Sn2Hg structure.

a = 4.8159 Å, b = 6.3964 Å, c = 10.3376 Å
α = 90.24°, β = 76.53°, γ = 67.89°
With the nearest neighbours (Å) after each atom.
Positions (direct):
Sn (0.9398, 0.6961, 0.4243)  1 Sn 2.90, 2 Hg 2.94, 1 Nd 3.23
Sn (0.3641, 0.1380, 0.1339)  1 Sn 3.00, 1 Hg 3.02, 4 Nd 3.28-3.30
Hg (0.5246, 0.6943, 0.2565)  3 Sn 2.94-3.02, 3 Nd 3.10-3.11
Sn (0.6359, 0.8620, 0.8661)  1 Sn 3.00, 1 Hg 3.02, 4 Nd 3.28-3.30
Hg (0.4754, 0.3057, 0.7435)  3 Sn 2.94-3.02, 3 Nd 3.10-3.11
Nd (0.8884, 0.2849, 0.9383)  2 Hg 3.11, 2 Sn 3.28
Nd (0.2882, 0.7820, 0.6416)  1 Hg 3.10, 5 Sn 3.23-3.30
Nd (0.1116, 0.7151, 0.0617)  2 Hg 3.11, 2 Sn 3.28
Sn (0.0602, 0.3039, 0.5757)  1 Sn 2.90, 2 Hg 2.94, 1 Nd 3.23
Nd (0.7118, 0.2180, 0.3584)  1 Hg 3.10, 5 Sn 3.23-3.30

Values from the calculation:
SG   C2/m
Formation enthalpy at 0 K   -0.629 eV/atom